This record from Alexandria describes crystalline CaSeNF2 at its relaxed geometry. The functional is GGA-PBE.

Cell: 4.5750 4.5750 3.8247 Å, 90.00 90.00 90.00°
Last column: nearest neighbours and their distance in Å.
Element x y z (fractional)
Ca 0.0000 0.0000 0.0000  8 F 2.98, 4 N 3.24
Se 0.5000 0.5000 0.5000  2 N 1.91
N 0.5000 0.5000 0.0000  2 Se 1.91
F 0.0000 0.5000 0.5000  2 Se 2.29
F 0.5000 0.0000 0.5000  2 Se 2.29

For the volume, the calculation gives 16.01 A^3/atom. The uncorrected formation energy comes out at -87.6 kJ/mol of atoms.